First-principles (PBE) data for crystalline PmCoPH at its relaxed geometry, as listed in the Alexandria database.

The structure in POSCAR format:
```
PmCoPH
1.0
3.789 0.000 0.000
0.000 3.789 0.000
0.000 0.000 7.870
P Co Pm H
2 2 2 2
Direct
0.500 0.000 0.152
0.000 0.500 0.848
0.500 0.500 0.000
0.000 0.000 0.000
0.500 0.000 0.680
0.000 0.500 0.320
0.000 0.000 0.500
0.500 0.500 0.500
```

## Properties
D(E_F)	3.72	states/eV/cell
VASP energy	-48.8	eV for the cell shown
size of the total moment	0.431	μB/f.u.